Entry 1:
DFT (SCAN) results for a crystal of YNbSe2N relaxed with PBEsol.

a b c (Å): 5.095 5.095 3.909
angles (deg): 90.00 90.00 90.00
Space group P4/mmm (No. 123)
Symmetry-distinct sites (fractional):
Y 0.000 0.000 0.000 (multiplicity 1)
Nb 0.500 0.500 0.500 (multiplicity 1)
Se 0.000 0.500 0.500 (multiplicity 2)
N 0.500 0.500 0.000 (multiplicity 1)

ΔE_f (raw): -0.88 eV per atom
Raw total energy: -114.85 eV/cell
Calculated volume: 101.45 Å³/cell

Entry 2:
DFT (SCAN) results for a crystal of Re2Si8MoW relaxed with PBEsol.

a b c (Å): 3.181 3.181 15.594
angles (deg): 90.00 90.00 90.00
Space group P4mm (No. 99)
Symmetry-distinct sites (fractional):
Re 0.000 0.000 0.000 (multiplicity 1)
Re 0.500 0.500 0.246 (multiplicity 1)
Si 0.000 0.000 0.165 (multiplicity 1)
Si 0.000 0.000 0.332 (multiplicity 1)
Si 0.000 0.000 0.664 (multiplicity 1)
Si 0.000 0.000 0.832 (multiplicity 1)
Si 0.500 0.500 0.082 (multiplicity 1)
Si 0.500 0.500 0.415 (multiplicity 1)
Si 0.500 0.500 0.581 (multiplicity 1)
Si 0.500 0.500 0.915 (multiplicity 1)
Mo 0.000 0.000 0.496 (multiplicity 1)
W 0.500 0.500 0.750 (multiplicity 1)

ΔE_f (raw): -0.27 eV per atom
Raw total energy: -330.18 eV/cell
Calculated volume: 157.76 Å³/cell

> The lowest raw total energy belongs to which entry?

Re2Si8MoW